(1)
An optimized crystal structure of PrNd3Er4, computed with GGA-PBE.

The value obtained for the calculated volume is 33.27 Å³ per atom. The calculation puts the raw total energy at -74.2 eV for the cell shown. The density comes out at 7.75 g/cm³. As for the formation energy: 0.03 eV/atom.

Cell lengths 11.5467, 7.3224, 6.2955 Å; angles 90.00, 90.00, 90.00 degrees
Element x y z (fractional)
1 Pr 0.0000 0.1286 0.0000
2 Pr 0.5000 0.8714 0.5000
3 Nd 0.0000 0.8715 0.4989
4 Nd 0.2502 0.1290 0.3374
5 Nd 0.2498 0.8710 0.8374
6 Nd 0.5000 0.1285 0.9989
7 Nd 0.7498 0.1290 0.3374
8 Nd 0.7502 0.8710 0.8374
9 Er 0.0000 0.3802 0.5020
10 Er 0.0000 0.6198 0.0018
11 Er 0.2504 0.3801 0.8352
12 Er 0.2496 0.6199 0.3352
13 Er 0.5000 0.3802 0.5018
14 Er 0.5000 0.6198 0.0020
15 Er 0.7496 0.3801 0.8352
16 Er 0.7504 0.6199 0.3352



(2)
An optimized crystal structure of Zn2NiPd4, computed with GGA-PBE.

The value obtained for the calculated volume is 15.34 Å³ per atom. The calculation puts the raw total energy at -30.6 eV for the cell shown. The density comes out at 9.51 g/cm³. As for the formation energy: -0.22 eV/atom.

Cell lengths 5.1894, 5.1894, 5.1894 Å; angles 110.78, 110.78, 106.88 degrees
Element x y z (fractional)
1 Zn 0.0000 0.5000 0.5000
2 Zn 0.5000 0.0000 0.5000
3 Ni 0.0000 0.0000 0.0000
4 Pd 0.0000 0.0000 0.5000
5 Pd 0.0000 0.5000 0.0000
6 Pd 0.5000 0.0000 0.0000
7 Pd 0.5000 0.5000 0.5000



(3)
An optimized crystal structure of LaAg2Au2, computed with GGA-PBE.

The value obtained for the calculated volume is 21.96 Å³ per atom. The calculation puts the raw total energy at -36.8 eV for the cell shown. The density comes out at 11.32 g/cm³. As for the formation energy: -0.24 eV/atom.

Cell lengths 7.8555, 7.8555, 3.5586 Å; angles 90.00, 90.00, 90.00 degrees
Element x y z (fractional)
1 La 0.0000 0.0000 0.0000
2 La 0.5000 0.5000 0.0000
3 Ag 0.1681 0.3319 0.5000
4 Ag 0.3319 0.8319 0.5000
5 Ag 0.6681 0.1681 0.5000
6 Ag 0.8319 0.6681 0.5000
7 Au 0.1275 0.6275 0.0000
8 Au 0.3725 0.1275 0.0000
9 Au 0.6275 0.8725 0.0000
10 Au 0.8725 0.3725 0.0000



(4)
An optimized crystal structure of Pr5YGa6, computed with GGA-PBE.

The value obtained for the calculated volume is 25.38 Å³ per atom. The calculation puts the raw total energy at -55.1 eV for the cell shown. The density comes out at 6.61 g/cm³. As for the formation energy: -0.55 eV/atom.

Cell lengths 5.2324, 7.4013, 8.2857 Å; angles 90.00, 108.33, 90.00 degrees
Element x y z (fractional)
1 Pr 0.0000 0.0000 0.0000
2 Pr 0.3303 0.0000 0.6602
3 Pr 0.3345 0.5000 0.6684
4 Pr 0.6656 0.5000 0.3316
5 Pr 0.6697 0.0000 0.3398
6 Y 0.0000 0.5000 0.0000
7 Ga 0.1625 0.2563 0.3259
8 Ga 0.1625 0.7437 0.3259
9 Ga 0.5000 0.2547 0.0000
10 Ga 0.5000 0.7453 0.0000
11 Ga 0.8375 0.2563 0.6741
12 Ga 0.8375 0.7437 0.6741



(5)
An optimized crystal structure of AcPm4Cu4, computed with GGA-PBE.

The value obtained for the calculated volume is 27.95 Å³ per atom. The calculation puts the raw total energy at -79.2 eV for the cell shown. The density comes out at 7.00 g/cm³. As for the formation energy: -0.01 eV/atom.

Cell lengths 9.3507, 9.3507, 5.7545 Å; angles 90.00, 90.00, 90.00 degrees
Element x y z (fractional)
1 Ac 0.2500 0.2500 0.2500
2 Ac 0.7500 0.7500 0.7500
3 Pm 0.0867 0.6557 0.1496
4 Pm 0.1557 0.9133 0.6496
5 Pm 0.3443 0.5867 0.6496
6 Pm 0.4133 0.8443 0.1496
7 Pm 0.5867 0.1557 0.8504
8 Pm 0.6557 0.4133 0.3504
9 Pm 0.8443 0.0867 0.3504
10 Pm 0.9133 0.3443 0.8504
11 Cu 0.0345 0.5976 0.6363
12 Cu 0.0976 0.9655 0.1363
13 Cu 0.4024 0.5345 0.1363
14 Cu 0.4655 0.9024 0.6363
15 Cu 0.5345 0.0976 0.3637
16 Cu 0.5976 0.4655 0.8637
17 Cu 0.9024 0.0345 0.8637
18 Cu 0.9655 0.4024 0.3637



(6)
An optimized crystal structure of TcAsPt2, computed with GGA-PBE.

The value obtained for the calculated volume is 15.66 Å³ per atom. The calculation puts the raw total energy at -27.0 eV for the cell shown. The density comes out at 14.92 g/cm³. As for the formation energy: 0.02 eV/atom.

Cell lengths 4.7312, 4.7312, 5.0400 Å; angles 101.19, 101.19, 34.56 degrees
Element x y z (fractional)
1 Tc 0.0000 0.0000 0.0000
2 As 0.7314 0.7314 0.2606
3 Pt 0.2493 0.2493 0.7784
4 Pt 0.4878 0.4878 0.5098